VASP calculation (PBE) on a relaxed structure of Ca3MnCo.

Cell: 5.4191 5.4191 5.4191 Å, 90.00 90.00 90.00°
Sites, in units of the cell vectors:
Ca: 0.0000 0.5000 0.0000
Ca: 0.0000 0.0000 0.5000
Co: 0.5000 0.5000 0.5000
Mn: 0.0000 0.0000 0.0000
Ca: 0.5000 0.0000 0.0000

Summary:
Calculated formation energy, eV per formula unit: 4.9
Spin magnetization, μB per formula unit: 4.4
VASP energy, eV per atom: -3.48